# 1
Below is a geometry-optimized AcSm2Eu structure, with properties calculated at the GGA-PBE level.

Cell and atoms, written as extended XYZ:
```
4
Lattice="-1.0691 2.4627 5.3669 -4.4385 -2.1143 3.4409 1.2782 -3.0484 5.0084" Properties=species:S:1:pos:R:3 pbc="T T T"
Eu -2.1147 -1.3500 6.9081
Ac 0.0000 0.0000 0.0000
Sm -1.0574 -0.6750 3.4541
Sm -3.1721 -2.0250 10.3622
```

Crystal system = cubic
Space-group type = Fm-3m, No. 225
E above lowest polymorph = 84 meV/atom
Energy of formation from the pure elements = 0.150 eV/atom
V = 38.2 Å³ per atom
Energy = -23.221 eV/cell
DOS(E_F) = 1.856 states/eV per atom

---

# 2
Below is a geometry-optimized AcSm2Eu structure, with properties calculated at the GGA-PBE level.

Cell and atoms, written as extended XYZ:
```
4
Lattice="-1.3347 3.4896 -0.7549 -0.7777 -1.0707 -3.5745 -9.5946 -3.0224 2.9927" Properties=species:S:1:pos:R:3 pbc="T T T"
Eu -5.8535 -0.3018 -0.6683
Ac -1.0562 1.2094 -2.1647
Sm -7.2234 -2.2754 2.2531
Sm -2.3712 -0.7470 0.7396
```

Crystal system = tetragonal
Space-group type = P4/mmm, No. 123
E above lowest polymorph = 0 meV/atom
Energy of formation from the pure elements = 0.067 eV/atom
V = 38.1 Å³ per atom
Energy = -23.555 eV/cell
DOS(E_F) = 1.518 states/eV per atom

---

# 3
Below is a geometry-optimized AcSm4Eu structure, with properties calculated at the GGA-PBE level.

Cell and atoms, written as extended XYZ:
```
6
Lattice="6.8934 0.0000 0.0000 3.4467 5.9698 0.0000 3.4467 1.9899 5.6284" Properties=species:S:1:pos:R:3 pbc="T T T"
Eu 0.0000 0.0000 0.0000
Ac 3.4467 1.9899 1.4071
Sm 6.8934 3.9799 0.7240
Sm 6.8934 2.0092 3.5109
Sm 8.6000 4.9652 3.5109
Sm 5.1867 4.9652 3.5109
```

Crystal system = cubic
Space-group type = F-43m, No. 216
Energy of formation from the pure elements = 0.207 eV/atom
V = 38.6 Å³ per atom
Energy = -32.016 eV/cell
DOS(E_F) = 1.385 states/eV per atom

---

# 4
Below is a geometry-optimized AcSm2Eu structure, with properties calculated at the GGA-PBE level.

Cell and atoms, written as extended XYZ:
```
4
Lattice="5.3652 0.0000 0.0000 0.0000 5.3102 0.0000 0.0000 0.0000 5.3102" Properties=species:S:1:pos:R:3 pbc="T T T"
Eu 2.6826 2.6551 2.6551
Ac 2.6826 0.0000 0.0000
Sm 0.0000 0.0000 2.6551
Sm 0.0000 2.6551 0.0000
```

Crystal system = tetragonal
Space-group type = P4/mmm, No. 123
E above lowest polymorph = 9 meV/atom
Energy of formation from the pure elements = 0.076 eV/atom
V = 37.8 Å³ per atom
Energy = -23.519 eV/cell
DOS(E_F) = 1.718 states/eV per atom

---

# 5
Below is a geometry-optimized AcSm2Eu structure, with properties calculated at the GGA-PBE level.

Cell and atoms, written as extended XYZ:
```
4
Lattice="3.6654 0.0000 0.0000 1.8327 3.1743 0.0000 1.8327 1.0581 13.2146" Properties=species:S:1:pos:R:3 pbc="T T T"
Eu 3.6654 2.1162 6.6073
Ac 0.0000 0.0000 0.0000
Sm 1.8327 1.0581 9.6559
Sm 5.4981 3.1743 3.5587
```

Crystal system = trigonal
Space-group type = R-3m, No. 166
E above lowest polymorph = 168 meV/atom
Energy of formation from the pure elements = 0.235 eV/atom
V = 38.4 Å³ per atom
Energy = -22.882 eV/cell
DOS(E_F) = 1.781 states/eV per atom

---

# 6
Below is a geometry-optimized AcSmEu2 structure, with properties calculated at the GGA-PBE level.

Cell and atoms, written as extended XYZ:
```
4
Lattice="-1.1712 1.4140 3.3658 -2.6541 -1.8651 2.0436 7.7806 -6.6106 7.6683" Properties=species:S:1:pos:R:3 pbc="T T T"
Eu 3.0419 -5.3501 9.8571
Eu 0.9133 -1.7116 3.2205
Ac 1.9776 -3.5308 6.5388
Sm 0.0000 0.0000 0.0000
```

Crystal system = trigonal
Space-group type = R-3m, No. 166
E above lowest polymorph = 0 meV/atom
Energy of formation from the pure elements = 0.068 eV/atom
V = 40.0 Å³ per atom
Energy = -29.105 eV/cell
DOS(E_F) = 1.253 states/eV per atom

---

# 7
Below is a geometry-optimized AcTbSmEu structure, with properties calculated at the GGA-PBE level.

Cell and atoms, written as extended XYZ:
```
4
Lattice="5.9737 0.0000 0.0000 2.9868 5.1734 0.0000 2.9868 1.7245 4.8775" Properties=species:S:1:pos:R:3 pbc="T T T"
Eu 2.9868 1.7245 1.2194
Ac 5.9737 3.4489 2.4387
Tb 8.9605 5.1734 3.6581
Sm 0.0000 0.0000 0.0000
```

Crystal system = cubic
Space-group type = F-43m, No. 216
Energy of formation from the pure elements = 0.135 eV/atom
V = 37.7 Å³ per atom
Energy = -23.192 eV/cell
DOS(E_F) = 1.618 states/eV per atom

---

# 8
Below is a geometry-optimized AcSmEuTl structure, with properties calculated at the GGA-PBE level.

Cell and atoms, written as extended XYZ:
```
4
Lattice="-3.0545 -2.6763 -4.1105 2.5451 -1.5291 -4.9571 0.9693 -5.5793 -1.1491" Properties=species:S:1:pos:R:3 pbc="T T T"
Eu 0.3450 -7.3385 -7.6625
Ac 0.2300 -4.8923 -5.1084
Tl 0.0000 0.0000 0.0000
Sm 0.1150 -2.4462 -2.5542
```

Crystal system = cubic
Space-group type = F-43m, No. 216
Energy of formation from the pure elements = 0.009 eV/atom
V = 34.1 Å³ per atom
Energy = -21.431 eV/cell
DOS(E_F) = 1.527 states/eV per atom

---

# 9
Below is a geometry-optimized AcSmEuTm structure, with properties calculated at the GGA-PBE level.

Cell and atoms, written as extended XYZ:
```
4
Lattice="5.9435 0.0000 0.0000 2.9718 5.1473 0.0000 2.9718 1.7158 4.8529" Properties=species:S:1:pos:R:3 pbc="T T T"
Eu 0.0000 0.0000 0.0000
Ac 8.9153 5.1473 3.6397
Tm 5.9435 3.4315 2.4264
Sm 2.9718 1.7158 1.2132
```

Crystal system = cubic
Space-group type = F-43m, No. 216
Energy of formation from the pure elements = 0.130 eV/atom
V = 37.1 Å³ per atom
Energy = -23.053 eV/cell
DOS(E_F) = 1.529 states/eV per atom

---

# 10
Below is a geometry-optimized AcSmEuY structure, with properties calculated at the GGA-PBE level.

Cell and atoms, written as extended XYZ:
```
4
Lattice="5.9790 0.0000 0.0000 2.9895 5.1780 0.0000 2.9895 1.7260 4.8818" Properties=species:S:1:pos:R:3 pbc="T T T"
Eu 5.9790 3.4520 2.4409
Y 8.9685 5.1780 3.6614
Ac 0.0000 0.0000 0.0000
Sm 2.9895 1.7260 1.2205
```

Crystal system = cubic
Space-group type = F-43m, No. 216
Energy of formation from the pure elements = 0.144 eV/atom
V = 37.8 Å³ per atom
Energy = -24.991 eV/cell
DOS(E_F) = 1.787 states/eV per atom

---

# 11
Below is a geometry-optimized AcSmEuZn structure, with properties calculated at the GGA-PBE level.

Cell and atoms, written as extended XYZ:
```
4
Lattice="-2.4939 -5.0588 -0.7701 -0.5514 -3.5972 4.3772 -5.1414 -1.0070 2.2262" Properties=species:S:1:pos:R:3 pbc="T T T"
Eu -6.1400 -7.2473 4.3750
Ac -4.0933 -4.8315 2.9167
Zn 0.0000 0.0000 0.0000
Sm -2.0467 -2.4158 1.4583
```

Crystal system = cubic
Space-group type = F-43m, No. 216
Energy of formation from the pure elements = 0.173 eV/atom
V = 32.6 Å³ per atom
Energy = -19.683 eV/cell
DOS(E_F) = 1.567 states/eV per atom

---

# 12
Below is a geometry-optimized AcTbEuSn structure, with properties calculated at the GGA-PBE level.

Cell and atoms, written as extended XYZ:
```
4
Lattice="-1.7126 -4.7764 2.5317 0.5589 -4.9766 -2.6603 3.8228 -3.7732 1.8180" Properties=species:S:1:pos:R:3 pbc="T T T"
Eu 0.0000 0.0000 0.0000
Ac 2.0018 -10.1447 1.2671
Tb 1.3346 -6.7631 0.8447
Sn 0.6673 -3.3816 0.4224
```

Crystal system = cubic
Space-group type = F-43m, No. 216
Energy of formation from the pure elements = -0.160 eV/atom
V = 32.2 Å³ per atom
Energy = -23.658 eV/cell
DOS(E_F) = 1.395 states/eV per atom

---

# 13
Below is a geometry-optimized SrAc2Eu structure, with properties calculated at the GGA-PBE level.

Cell and atoms, written as extended XYZ:
```
4
Lattice="5.8566 0.0000 0.0000 0.0000 5.5994 0.0000 0.0000 0.0000 5.5994" Properties=species:S:1:pos:R:3 pbc="T T T"
Eu 2.9283 2.7997 2.7997
Sr 2.9283 0.0000 0.0000
Ac 0.0000 0.0000 2.7997
Ac 0.0000 2.7997 0.0000
```

Crystal system = tetragonal
Space-group type = P4/mmm, No. 123
E above lowest polymorph = 17 meV/atom
Energy of formation from the pure elements = 0.083 eV/atom
V = 45.9 Å³ per atom
Energy = -19.841 eV/cell
DOS(E_F) = 3.106 states/eV per atom

---

# 14
Below is a geometry-optimized SrAcEu2 structure, with properties calculated at the GGA-PBE level.

Cell and atoms, written as extended XYZ:
```
4
Lattice="-3.7721 0.3460 5.1135 -5.4105 -3.3445 0.1949 -0.5171 -4.9895 3.9159" Properties=species:S:1:pos:R:3 pbc="T T T"
Eu -2.4249 -1.9970 2.3061
Eu -7.2748 -5.9911 6.9182
Sr -4.8499 -3.9940 4.6121
Ac 0.0000 0.0000 0.0000
```

Crystal system = cubic
Space-group type = Fm-3m, No. 225
E above lowest polymorph = 36 meV/atom
Energy of formation from the pure elements = 0.067 eV/atom
V = 45.6 Å³ per atom
Energy = -26.070 eV/cell
DOS(E_F) = 5.567 states/eV per atom

---

# 15
Below is a geometry-optimized SrAc2Eu structure, with properties calculated at the GGA-PBE level.

Cell and atoms, written as extended XYZ:
```
4
Lattice="-0.8752 2.5845 -2.8283 -3.5628 -0.0332 -1.6583 -6.0811 9.9128 8.2096" Properties=species:S:1:pos:R:3 pbc="T T T"
Eu -5.2595 6.2320 1.8615
Sr 0.0000 0.0000 0.0000
Ac -4.8263 7.4417 5.5632
Ac -5.6928 5.0223 -1.8403
```

Crystal system = trigonal
Space-group type = R-3m, No. 166
E above lowest polymorph = 92 meV/atom
Energy of formation from the pure elements = 0.158 eV/atom
V = 47.0 Å³ per atom
Energy = -19.541 eV/cell
DOS(E_F) = 1.305 states/eV per atom

---

# 16
Below is a geometry-optimized SrAcEu2 structure, with properties calculated at the GGA-PBE level.

Cell and atoms, written as extended XYZ:
```
4
Lattice="-2.2623 1.1205 3.0926 -3.1633 -1.7699 -1.6727 2.6036 -9.8135 5.4600" Properties=species:S:1:pos:R:3 pbc="T T T"
Eu 1.9837 -7.4769 4.1600
Eu 0.6199 -2.3366 1.3000
Sr -1.4110 -5.2315 3.4399
Ac -2.7128 -0.3247 0.7099
```

Crystal system = tetragonal
Space-group type = P4/mmm, No. 123
E above lowest polymorph = 0 meV/atom
Energy of formation from the pure elements = 0.031 eV/atom
V = 45.9 Å³ per atom
Energy = -26.214 eV/cell
DOS(E_F) = 3.931 states/eV per atom